1.
Below is a relaxed LaYCdIr crystal, with properties calculated at the PBE level.

a = 5.1790 Å, b = 5.1790 Å, c = 5.1790 Å
α = 60.00°, β = 60.00°, γ = 60.00°
Last column: nearest neighbours and their distance in Å.
Fractional positions:
La (0.0000, 0.0000, 0.0000)  4 Cd 3.17, 4 Ir 3.17
Y (0.5000, 0.5000, 0.5000)  4 Cd 3.17, 4 Ir 3.17
Cd (0.7500, 0.7500, 0.7500)  4 Y 3.17, 4 La 3.17
Ir (0.2500, 0.2500, 0.2500)  4 La 3.17, 4 Y 3.17

Output
symmetry	F-43m (216)
energy of formation	-0.46	eV per atom

2.
Below is a relaxed La2YCdIr crystal, with properties calculated at the PBE level.

a = 5.5663 Å, b = 5.5663 Å, c = 5.5142 Å
α = 90.00°, β = 90.00°, γ = 90.00°
Last column: nearest neighbours and their distance in Å.
Fractional positions:
La (0.0000, 0.5000, 0.0000)  2 Ir 2.78
La (0.5000, 0.0000, 0.0000)  2 Ir 2.78
Y (0.0000, 0.0000, 0.5000)  2 Ir 2.76
Cd (0.5000, 0.5000, 0.5000)  8 La 3.92, 4 Y 3.94
Ir (0.0000, 0.0000, 0.0000)  2 Y 2.76, 4 La 2.78

Output
symmetry	P4/mmm (123)
energy of formation	-0.36	eV per atom

3.
Below is a relaxed La2ZnCdIr crystal, with properties calculated at the PBE level.

a = 7.5714 Å, b = 4.5163 Å, c = 8.0514 Å
α = 90.00°, β = 108.47°, γ = 90.00°
Last column: nearest neighbours and their distance in Å.
Fractional positions:
La (0.1337, 0.2500, 0.3365)  2 Ir 2.97, 2 Zn 3.32
La (0.2712, 0.2500, 0.9477)  3 Ir 2.91-2.94
La (0.7288, 0.7500, 0.0523)  3 Ir 2.91-2.94
La (0.8663, 0.7500, 0.6635)  2 Ir 2.97, 2 Zn 3.32
Zn (0.4503, 0.7500, 0.3247)  1 Ir 2.55, 2 Cd 2.76
Zn (0.5497, 0.2500, 0.6753)  1 Ir 2.55, 2 Cd 2.76
Cd (0.3341, 0.7500, 0.6511)  3 Zn 2.76-3.02
Cd (0.6659, 0.2500, 0.3489)  3 Zn 2.76-3.02
Ir (0.1287, 0.7500, 0.0945)  1 Zn 2.55
Ir (0.8713, 0.2500, 0.9055)  1 Zn 2.55

Output
symmetry	P2_1/m (11)
energy of formation	-0.49	eV per atom

4.
Below is a relaxed La2ZnCdIr crystal, with properties calculated at the PBE level.

a = 5.5169 Å, b = 5.5169 Å, c = 4.9519 Å
α = 90.00°, β = 90.00°, γ = 90.00°
Last column: nearest neighbours and their distance in Å.
Fractional positions:
La (0.0000, 0.5000, 0.0000)  2 Ir 2.76
La (0.5000, 0.0000, 0.0000)  2 Ir 2.76
Zn (0.0000, 0.0000, 0.5000)  2 Ir 2.48
Cd (0.5000, 0.5000, 0.5000)  8 La 3.71, 4 Zn 3.90
Ir (0.0000, 0.0000, 0.0000)  2 Zn 2.48, 4 La 2.76

Output
symmetry	P4/mmm (123)
energy of formation	-0.39	eV per atom